The following is a DFT calculation (PBE) of an optimized crystal structure of KCaPrO3.

Values from the calculation:
Spin magnetization   0.0 μB/cell
Formation energy from raw total energies   -2.48 eV/atom
Total energy   -75.26 eV per cell
Space group   No. 11

a b c (Å): 3.6145 7.4940 10.1212
angles (deg): 90.25 90.00 90.00
With the nearest neighbours (Å) after each atom.
Element x y z (fractional)
Pr 0.7500 0.3920 0.8692  5 O 2.26-2.49
O 0.2500 0.8542 0.5667  3 Ca 2.22-2.28
Ca 0.2500 0.1582 0.5599  4 O 2.22-2.31
K 0.2500 0.1335 0.2189  4 O 2.83-2.91
O 0.7500 0.1458 0.4333  3 Ca 2.22-2.28
K 0.7500 0.8665 0.7811  4 O 2.83-2.91
Pr 0.2500 0.6080 0.1308  5 O 2.26-2.49
Ca 0.7500 0.8418 0.4401  4 O 2.22-2.31
O 0.7500 0.7693 0.2177  1 Ca 2.31, 2 Pr 2.34
O 0.2500 0.2307 0.7823  1 Ca 2.31, 2 Pr 2.34
O 0.2500 0.6149 0.9072  3 Pr 2.26-2.49
O 0.7500 0.3851 0.0928  3 Pr 2.26-2.49